No. 1
The following is a DFT calculation (GGA-PBE) of Pr3AlCd2 after structural relaxation.

Cell and atoms, written as POSCAR:
```
Pr3AlCd2
1.0
3.7906 0.0000 0.0000
0.0000 3.7906 0.0000
0.0000 0.0000 11.8307
Pr Al Cd
3 1 2
Cartesian
0.0000 0.0000 0.0000
0.0000 0.0000 4.0712
0.0000 0.0000 7.7595
1.8953 1.8953 5.9154
1.8953 1.8953 2.0105
1.8953 1.8953 9.8202
```

Output
space-group type	P4/mmm (123)
energy relative to the lowest polymorph listed for this composition	0	meV/atom
formation energy	-187	kJ/mol of formula units


No. 2
The following is a DFT calculation (GGA-PBE) of Er2ZrHg3 after structural relaxation.

Cell and atoms, written as POSCAR:
```
Er2ZrHg3
1.0
3.6569 0.0000 0.0000
0.0000 3.6569 0.0000
0.0000 0.0000 10.7345
Er Zr Hg
2 1 3
Cartesian
0.0000 0.0000 1.8488
0.0000 0.0000 8.8857
0.0000 0.0000 5.3673
1.8284 1.8284 0.0000
1.8284 1.8284 3.6780
1.8284 1.8284 7.0565
```

Output
space-group type	P4/mmm (123)
formation energy	-198	kJ/mol of formula units


No. 3
The following is a DFT calculation (GGA-PBE) of TePPt after structural relaxation.

Cell and atoms, written as POSCAR:
```
TePPt
1.0
0.0000 3.1801 3.1801
3.1801 0.0000 3.1801
3.1801 3.1801 0.0000
Te P Pt
1 1 1
Cartesian
0.0000 0.0000 0.0000
3.1801 3.1801 3.1801
4.7702 4.7702 4.7702
```

Output
space-group type	F-43m (216)
energy relative to the lowest polymorph listed for this composition	373	meV/atom
energy relative to the elements, uncorrected	42	meV/atom